{
  "formula": "IrPd3O",
  "functional": "PBE",
  "state": "relaxed",
  "density_g_cm3": 12.15,
  "polymorph_energy_mev_per_atom": 0.0,
  "total_energy_ev_per_atom": -5.439,
  "crystal_system": "cubic",
  "total_magnetization_mub_per_fu": 0.00,
  "formation_energy_uncorrected_ev_per_atom": 0.44,
  "lattice_angstrom": [[4.162, 0.000, 0.000], [0.000, 4.162, 0.000], [0.000, 0.000, 4.162]],
  "species": ["Ir", "O", "Pd", "Pd", "Pd"],
  "fractional_positions": [[0.500, 0.500, 0.500], [0.000, 0.000, 0.000], [0.000, 0.500, 0.000], [0.000, 0.000, 0.500], [0.500, 0.000, 0.000]]
}